# Cs2BiSBr3

A geometry-optimized Cs2BiSBr3 structure (GGA-PBE, Alexandria).

a = 5.4063 Å, b = 5.8816 Å, c = 18.3799 Å
α = 90.00°, β = 90.00°, γ = 90.00°
Space group Immm (No. 71)
One atom of each set of equivalent atoms:
1 Cs 0.0000 0.0000 0.1375
2 Bi 0.0000 0.0000 0.5000
3 S 0.0000 0.5000 0.0000
4 Br 0.0000 0.0000 0.3388
5 Br 0.0000 0.5000 0.5000

Summary:
Uncorrected formation energy = -1.1808 eV/atom
M_tot = 0.00 Bohr magnetons per cell



# Tl15SbTe4

A geometry-optimized Tl15SbTe4 structure (GGA-PBE, Alexandria).

a = 5.0322 Å, b = 5.0322 Å, c = 25.5162 Å
α = 90.00°, β = 90.00°, γ = 90.00°
Space group P4/mmm (No. 123)
One atom of each set of equivalent atoms:
1 Tl 0.0000 0.0000 0.0000
2 Tl 0.0000 0.0000 0.1948
3 Tl 0.0000 0.0000 0.3989
4 Tl 0.0000 0.5000 0.0949
5 Tl 0.0000 0.5000 0.2972
6 Tl 0.0000 0.5000 0.5000
7 Sb 0.5000 0.5000 0.0000
8 Te 0.5000 0.5000 0.2009
9 Te 0.5000 0.5000 0.4005

Summary:
Uncorrected formation energy = -0.1650 eV/atom
M_tot = 0.00 Bohr magnetons per cell



# Dy16Ho6Th7

A geometry-optimized Dy16Ho6Th7 structure (GGA-PBE, Alexandria).

a = 15.8775 Å, b = 15.8775 Å, c = 15.8775 Å
α = 90.00°, β = 90.00°, γ = 90.00°
Space group Fm-3m (No. 225)
One atom of each set of equivalent atoms:
1 Dy 0.1298 0.1298 0.1298
2 Dy 0.1523 0.1523 0.3477
3 Ho 0.0000 0.0000 0.2523
4 Th 0.0000 0.0000 0.0000
5 Th 0.0000 0.2500 0.2500

Summary:
DFT formation energy = 0.28 eV per atom
M_tot = 0.00 Bohr magnetons per cell



# K3HoEr2Te6

A geometry-optimized K3HoEr2Te6 structure (GGA-PBE, Alexandria).

a = 7.7444 Å, b = 13.4137 Å, c = 8.6349 Å
α = 90.00°, β = 107.39°, γ = 90.00°
Space group C2/m (No. 12)
One atom of each set of equivalent atoms:
1 K 0.0000 0.0000 0.0000
2 K 0.0000 0.3335 0.0000
3 Ho 0.0000 0.5000 0.5000
4 Er 0.0000 0.1667 0.5000
5 Te 0.2348 0.0000 0.7070
6 Te 0.2360 0.3329 0.7070

Summary:
Uncorrected formation energy = -1.3847 eV/atom
M_tot = 0.00 Bohr magnetons per cell



# LiMgRe

A geometry-optimized LiMgRe structure (GGA-PBE, Alexandria).

a = 4.9731 Å, b = 2.8880 Å, c = 14.6045 Å
α = 90.00°, β = 97.12°, γ = 90.00°
Space group Cm (No. 8)
One atom of each set of equivalent atoms:
1 Li 0.0000 0.0000 0.0000
2 Li 0.1195 0.5000 0.8273
3 Mg 0.2174 0.5000 0.1790
4 Mg 0.2193 0.0000 0.6492
5 Re 0.1137 0.0000 0.3435
6 Re 0.4984 0.0000 0.4838

Summary:
DFT formation energy = 0.10 eV per atom
M_tot = 0.00 Bohr magnetons per cell



# BaGdSnHg

A geometry-optimized BaGdSnHg structure (GGA-PBE, Alexandria).

a = 8.0224 Å, b = 8.0224 Å, c = 8.0224 Å
α = 90.00°, β = 90.00°, γ = 90.00°
Space group F-43m (No. 216)
One atom of each set of equivalent atoms:
1 Ba 0.0000 0.0000 0.0000
2 Gd 0.0000 0.0000 0.5000
3 Sn 0.2500 0.2500 0.7500
4 Hg 0.2500 0.2500 0.2500

Summary:
DFT formation energy = -0.49 eV per atom
M_tot = 30.02 Bohr magnetons per cell



# KPbF2

A geometry-optimized KPbF2 structure (GGA-PBE, Alexandria).

a = 6.6984 Å, b = 6.6984 Å, c = 8.5722 Å
α = 90.00°, β = 90.00°, γ = 90.00°
Space group I-42d (No. 122)
One atom of each set of equivalent atoms:
1 K 0.0000 0.0000 0.0000
2 Pb 0.0000 0.0000 0.5000
3 F 0.2489 0.7500 0.6250

Summary:
Uncorrected formation energy = -1.8739 eV/atom
M_tot = 3.53 Bohr magnetons per cell



# LaGa7Cu5

A geometry-optimized LaGa7Cu5 structure (GGA-PBE, Alexandria).

a = 5.2134 Å, b = 8.9805 Å, c = 8.7877 Å
α = 90.00°, β = 90.00°, γ = 90.00°
Space group Imm2 (No. 44)
One atom of each set of equivalent atoms:
1 La 0.0000 0.0000 0.0000
2 Ga 0.0000 0.0000 0.3528
3 Ga 0.0000 0.0000 0.6511
4 Ga 0.0000 0.2914 0.4916
5 Ga 0.0000 0.3488 0.0090
6 Ga 0.0000 0.5000 0.7299
7 Cu 0.0000 0.5000 0.2706
8 Cu 0.2480 0.2504 0.7477

Summary:
DFT formation energy = -0.27 eV per atom
M_tot = 0.00 Bohr magnetons per cell



# Y2Pb2N

A geometry-optimized Y2Pb2N structure (GGA-PBE, Alexandria).

a = 6.1518 Å, b = 3.5513 Å, c = 11.1280 Å
α = 90.00°, β = 100.68°, γ = 90.00°
Space group C2/m (No. 12)
One atom of each set of equivalent atoms:
1 Y 0.2073 0.0000 0.1208
2 Pb 0.0456 0.0000 0.6396
3 N 0.0000 0.5000 0.0000

Summary:
Uncorrected formation energy = -0.7905 eV/atom
M_tot = 0.00 Bohr magnetons per cell



# ZnCu2H

A geometry-optimized ZnCu2H structure (GGA-PBE, Alexandria).

a = 4.6621 Å, b = 2.6870 Å, c = 6.6721 Å
α = 90.00°, β = 103.64°, γ = 90.00°
Space group Cm (No. 8)
One atom of each set of equivalent atoms:
1 Zn 0.0000 0.0000 0.0000
2 Cu 0.0599 0.5000 0.6757
3 Cu 0.2746 0.5000 0.3249
4 H 0.1679 0.0000 0.5006

Summary:
Energy = -3.15 eV per atom
M_tot = 0.00 Bohr magnetons per cell



# Pr2Zn12Cu3Pd

A geometry-optimized Pr2Zn12Cu3Pd structure (GGA-PBE, Alexandria).

a = 5.9168 Å, b = 5.9168 Å, c = 32.5726 Å
α = 90.00°, β = 90.00°, γ = 120.00°
Space group R-3m (No. 166, hexagonal axes)
One atom of each set of equivalent atoms:
1 Pr 0.0000 0.0000 0.1406
2 Zn 0.0030 0.5015 0.1064
3 Zn 0.0424 0.5212 0.6164
4 Cu 0.0000 0.5000 0.0000
5 Pd 0.0000 0.0000 0.5000

Summary:
DFT formation energy = -0.06 eV per atom
M_tot = 0.00 Bohr magnetons per cell



# ThCr2Ge2

A geometry-optimized ThCr2Ge2 structure (GGA-PBE, Alexandria).

a = 4.1671 Å, b = 4.1671 Å, c = 10.6353 Å
α = 90.00°, β = 90.00°, γ = 90.00°
Space group I4/mmm (No. 139)
One atom of each set of equivalent atoms:
1 Th 0.0000 0.0000 0.0000
2 Cr 0.0000 0.5000 0.2500
3 Ge 0.0000 0.0000 0.3764

Summary:
DFT formation energy = -0.30 eV per atom
M_tot = 9.32 Bohr magnetons per cell



# Ba4NaIn2Ga

A geometry-optimized Ba4NaIn2Ga structure (GGA-PBE, Alexandria).

a = 6.0654 Å, b = 6.0654 Å, c = 29.8002 Å
α = 90.00°, β = 90.00°, γ = 120.00°
Space group R-3m (No. 166, hexagonal axes)
One atom of each set of equivalent atoms:
1 Ba 0.0000 0.0000 0.1175
2 Ba 0.0000 0.0000 0.3684
3 Na 0.0000 0.0000 0.5000
4 In 0.0000 0.0000 0.2466
5 Ga 0.0000 0.0000 0.0000

Summary:
DFT formation energy = -0.28 eV per atom
M_tot = 0.00 Bohr magnetons per cell



# SrTbPrNd

A geometry-optimized SrTbPrNd structure (GGA-PBE, Alexandria).

a = 8.4650 Å, b = 8.4650 Å, c = 8.4650 Å
α = 90.00°, β = 90.00°, γ = 90.00°
Space group F-43m (No. 216)
One atom of each set of equivalent atoms:
1 Sr 0.0000 0.0000 0.0000
2 Tb 0.0000 0.0000 0.5000
3 Pr 0.2500 0.2500 0.2500
4 Nd 0.2500 0.2500 0.7500

Summary:
DFT formation energy = 0.21 eV per atom
M_tot = 0.00 Bohr magnetons per cell



# Zn2CdB2Pt5

A geometry-optimized Zn2CdB2Pt5 structure (GGA-PBE, Alexandria).

a = 9.7098 Å, b = 9.7098 Å, c = 3.0817 Å
α = 90.00°, β = 90.00°, γ = 90.00°
Space group P4/mbm (No. 127)
One atom of each set of equivalent atoms:
1 Zn 0.1799 0.3201 0.0000
2 Cd 0.0000 0.0000 0.0000
3 B 0.1244 0.6244 0.0000
4 Pt 0.0000 0.5000 0.5000
5 Pt 0.0732 0.7754 0.5000

Summary:
DFT formation energy = -0.19 eV per atom
M_tot = 0.00 Bohr magnetons per cell



# Ac6GaAu2

A geometry-optimized Ac6GaAu2 structure (GGA-PBE, Alexandria).

a = 9.3328 Å, b = 9.3328 Å, c = 4.2231 Å
α = 90.00°, β = 90.00°, γ = 120.00°
Space group P-3 (No. 147)
One atom of each set of equivalent atoms:
1 Ac 0.0943 0.7114 0.2476
2 Ga 0.0000 0.0000 0.5000
3 Au 0.3333 0.6667 0.7423

Summary:
DFT formation energy = -0.41 eV per atom
M_tot = 0.00 Bohr magnetons per cell



# TaVGe

A geometry-optimized TaVGe structure (GGA-PBE, Alexandria).

a = 3.3218 Å, b = 3.3218 Å, c = 8.4618 Å
α = 90.00°, β = 90.00°, γ = 90.00°
Space group I4mm (No. 107)
One atom of each set of equivalent atoms:
1 Ta 0.0000 0.0000 0.0000
2 V 0.0000 0.0000 0.6641
3 Ge 0.0000 0.0000 0.3248

Summary:
DFT formation energy = -0.21 eV per atom
M_tot = 0.00 Bohr magnetons per cell



# DyEr3Sc6

A geometry-optimized DyEr3Sc6 structure (GGA-PBE, Alexandria).

a = 10.4533 Å, b = 17.8985 Å, c = 5.8262 Å
α = 90.00°, β = 90.00°, γ = 90.00°
Space group Cmc2_1 (No. 36)
One atom of each set of equivalent atoms:
1 Dy 0.0000 0.2097 0.0000
2 Er 0.0000 0.3946 0.0949
3 Er 0.1744 0.1056 0.6894
4 Sc 0.0000 0.0475 0.2289
5 Sc 0.0000 0.2851 0.5178
6 Sc 0.1654 0.4484 0.6355
7 Sc 0.2468 0.2137 0.2936

Summary:
DFT formation energy = 0.16 eV per atom
M_tot = 0.33 Bohr magnetons per cell



# CeCu4Ru

A geometry-optimized CeCu4Ru structure (GGA-PBE, Alexandria).

a = 7.0732 Å, b = 7.0732 Å, c = 7.0732 Å
α = 90.00°, β = 90.00°, γ = 90.00°
Space group F-43m (No. 216)
One atom of each set of equivalent atoms:
1 Ce 0.0000 0.0000 0.0000
2 Cu 0.1236 0.1236 0.6236
3 Ru 0.2500 0.2500 0.2500

Summary:
DFT formation energy = -0.05 eV per atom
M_tot = 0.00 Bohr magnetons per cell



# YTm3In3Te8

A geometry-optimized YTm3In3Te8 structure (GGA-PBE, Alexandria).

a = 8.7067 Å, b = 8.7067 Å, c = 23.6228 Å
α = 90.00°, β = 90.00°, γ = 120.00°
Space group R-3m (No. 166, hexagonal axes)
One atom of each set of equivalent atoms:
1 Y 0.0000 0.0000 0.0000
2 Tm 0.0000 0.5000 0.0000
3 In 0.0000 0.5000 0.5000
4 Te 0.0000 0.0000 0.2590
5 Te 0.0048 0.5024 0.2589

Summary:
Uncorrected formation energy = -0.9917 eV/atom
M_tot = 0.00 Bohr magnetons per cell



For the records above, the corresponding theoretical density values read 4.24, 9.50, 8.65, 5.36, 6.94, 7.90, 4.91, 7.63, 8.43, 7.91, 6.88, 8.66, 4.57, 5.82, 14.18, 9.52, 10.83, 5.69, 9.30, 6.30 g/cm³.